--- w ---
The following is a PBE calculation of a relaxed Ga2Sb2Te crystal, from Alexandria.

The volume comes out at 25.8 Å³/atom. For the density, the calculation gives 6.58 Mg/m³.

Unit cell a=4.0762 b=4.0762 c=15.4995 alpha=90.00 beta=90.00 gamma=90.00
Space group I4/mmm (No. 139)
One atom of each set of equivalent atoms:
Ga 0.0000 0.5000 0.2500
Sb 0.0000 0.0000 0.1182
Te 0.0000 0.0000 0.5000

--- x ---
The following is a PBE calculation of a relaxed Ga2Sb2Te crystal, from Alexandria.

The volume comes out at 25.9 Å³/atom. For the density, the calculation gives 6.54 Mg/m³.

Unit cell a=4.9180 b=4.9180 c=10.7263 alpha=90.00 beta=90.00 gamma=90.00
Space group I4/mmm (No. 139)
One atom of each set of equivalent atoms:
Ga 0.0000 0.0000 0.1141
Sb 0.0000 0.5000 0.2500
Te 0.0000 0.0000 0.5000

Which of them is the most stable? Correct choice: w.

--- w ---
The following is a PBE calculation of a relaxed GaSb3Te crystal, from Alexandria.

The volume comes out at 30.2 Å³/atom. For the density, the calculation gives 6.18 Mg/m³.

Unit cell a=5.3272 b=5.3272 c=5.3272 alpha=90.00 beta=90.00 gamma=90.00
Space group Pm-3m (No. 221)
One atom of each set of equivalent atoms:
Ga 0.0000 0.0000 0.0000
Sb 0.0000 0.0000 0.5000
Te 0.5000 0.5000 0.5000

--- x ---
The following is a PBE calculation of a relaxed GaSb3Te crystal, from Alexandria.

The volume comes out at 38.5 Å³/atom. For the density, the calculation gives 4.85 Mg/m³.

Unit cell a=5.7738 b=5.7738 c=5.7738 alpha=90.00 beta=90.00 gamma=90.00
Space group Pm-3m (No. 221)
One atom of each set of equivalent atoms:
Ga 0.0000 0.0000 0.0000
Sb 0.0000 0.5000 0.5000
Te 0.5000 0.5000 0.5000

Which of them is the most stable? Correct choice: w.

--- w ---
The following is a PBE calculation of a relaxed GaSbTe3 crystal, from Alexandria.

The volume comes out at 36.1 Å³/atom. For the density, the calculation gives 5.28 Mg/m³.

Unit cell a=8.8255 b=11.5179 c=7.1015 alpha=90.00 beta=90.00 gamma=90.00
Space group Pnma (No. 62)
One atom of each set of equivalent atoms:
Ga 0.1891 0.2500 0.0373
Sb 0.0000 0.0000 0.5000
Te 0.0022 0.7500 0.6502
Te 0.1709 0.0424 0.8788

--- x ---
The following is a PBE calculation of a relaxed GaSbTe3 crystal, from Alexandria.

The volume comes out at 36.2 Å³/atom. For the density, the calculation gives 5.27 Mg/m³.

Unit cell a=6.9292 b=4.2940 c=12.3460 alpha=90.00 beta=100.01 gamma=90.00
Space group P2_1/m (No. 11)
One atom of each set of equivalent atoms:
Ga 0.0138 0.2500 0.2572
Sb 0.4477 0.2500 0.8274
Te 0.1263 0.2500 0.6418
Te 0.2161 0.7500 0.9379
Te 0.3937 0.2500 0.3150

--- y ---
The following is a PBE calculation of a relaxed GaSbTe3 crystal, from Alexandria.

The volume comes out at 30.6 Å³/atom. For the density, the calculation gives 6.24 Mg/m³.

Unit cell a=5.3467 b=5.3467 c=5.3467 alpha=90.00 beta=90.00 gamma=90.00
Space group Pm-3m (No. 221)
One atom of each set of equivalent atoms:
Ga 0.0000 0.0000 0.0000
Sb 0.5000 0.5000 0.5000
Te 0.0000 0.0000 0.5000

Which of them is the most stable? Correct choice: x.

--- w ---
The following is a PBE calculation of a relaxed TlGaSb2Te crystal, from Alexandria.

The volume comes out at 32.3 Å³/atom. For the density, the calculation gives 6.62 Mg/m³.

Unit cell a=5.3720 b=5.3720 c=5.6042 alpha=90.00 beta=90.00 gamma=90.00
Space group P4/mmm (No. 123)
One atom of each set of equivalent atoms:
Tl 0.0000 0.0000 0.0000
Ga 0.5000 0.5000 0.5000
Sb 0.0000 0.5000 0.5000
Te 0.5000 0.5000 0.0000

--- x ---
The following is a PBE calculation of a relaxed TlGaSb2Te crystal, from Alexandria.

The volume comes out at 38.5 Å³/atom. For the density, the calculation gives 5.56 Mg/m³.

Unit cell a=5.7053 b=5.7053 c=5.9175 alpha=90.00 beta=90.00 gamma=90.00
Space group P4/mmm (No. 123)
One atom of each set of equivalent atoms:
Tl 0.0000 0.0000 0.0000
Ga 0.5000 0.5000 0.5000
Sb 0.0000 0.5000 0.0000
Te 0.0000 0.0000 0.5000

Which of them is the most stable? Correct choice: w.

--- w ---
The following is a PBE calculation of a relaxed VGaSb2Te crystal, from Alexandria.

The volume comes out at 28.0 Å³/atom. For the density, the calculation gives 5.82 Mg/m³.

Unit cell a=5.1772 b=5.1772 c=5.2310 alpha=90.00 beta=90.00 gamma=90.00
Space group P4/mmm (No. 123)
One atom of each set of equivalent atoms:
V 0.0000 0.0000 0.0000
Ga 0.5000 0.5000 0.5000
Sb 0.0000 0.5000 0.0000
Te 0.0000 0.0000 0.5000

--- x ---
The following is a PBE calculation of a relaxed VGaSb2Te crystal, from Alexandria.

The volume comes out at 29.0 Å³/atom. For the density, the calculation gives 5.64 Mg/m³.

Unit cell a=5.1939 b=5.1939 c=5.3710 alpha=90.00 beta=90.00 gamma=90.00
Space group P4/mmm (No. 123)
One atom of each set of equivalent atoms:
V 0.0000 0.0000 0.0000
Ga 0.5000 0.5000 0.5000
Sb 0.0000 0.5000 0.5000
Te 0.5000 0.5000 0.0000

Which of them is the most stable? Correct choice: w.

--- w ---
The following is a PBE calculation of a relaxed VGaSbTe2 crystal, from Alexandria.

The volume comes out at 29.5 Å³/atom. For the density, the calculation gives 5.60 Mg/m³.

Unit cell a=5.3671 b=5.3671 c=5.1207 alpha=90.00 beta=90.00 gamma=90.00
Space group P4/mmm (No. 123)
One atom of each set of equivalent atoms:
V 0.0000 0.0000 0.0000
Ga 0.5000 0.5000 0.5000
Sb 0.5000 0.5000 0.0000
Te 0.0000 0.5000 0.5000

--- x ---
The following is a PBE calculation of a relaxed VGaSbTe2 crystal, from Alexandria.

The volume comes out at 28.7 Å³/atom. For the density, the calculation gives 5.76 Mg/m³.

Unit cell a=5.2556 b=5.2556 c=5.1961 alpha=90.00 beta=90.00 gamma=90.00
Space group P4/mmm (No. 123)
One atom of each set of equivalent atoms:
V 0.0000 0.0000 0.0000
Ga 0.5000 0.5000 0.5000
Sb 0.0000 0.0000 0.5000
Te 0.0000 0.5000 0.0000

Which of them is the most stable? Correct choice: x.

--- w ---
The following is a PBE calculation of a relaxed GaSbTe2W crystal, from Alexandria.

The volume comes out at 28.5 Å³/atom. For the density, the calculation gives 7.34 Mg/m³.

Unit cell a=5.2752 b=5.2752 c=5.1244 alpha=90.00 beta=90.00 gamma=90.00
Space group P4/mmm (No. 123)
One atom of each set of equivalent atoms:
Ga 0.0000 0.0000 0.0000
Sb 0.0000 0.0000 0.5000
Te 0.0000 0.5000 0.0000
W 0.5000 0.5000 0.5000

--- x ---
The following is a PBE calculation of a relaxed GaSbTe2W crystal, from Alexandria.

The volume comes out at 30.6 Å³/atom. For the density, the calculation gives 6.84 Mg/m³.

Unit cell a=5.3822 b=5.3822 c=5.2879 alpha=90.00 beta=90.00 gamma=90.00
Space group P4/mmm (No. 123)
One atom of each set of equivalent atoms:
Ga 0.0000 0.0000 0.0000
Sb 0.5000 0.5000 0.0000
Te 0.0000 0.5000 0.5000
W 0.5000 0.5000 0.5000

Which of them is the most stable? Correct choice: x.

--- w ---
The following is a PBE calculation of a relaxed ZnGaSbTe2 crystal, from Alexandria.

The volume comes out at 30.7 Å³/atom. For the density, the calculation gives 5.54 Mg/m³.

Unit cell a=5.4889 b=5.4889 c=5.0988 alpha=90.00 beta=90.00 gamma=90.00
Space group P4/mmm (No. 123)
One atom of each set of equivalent atoms:
Zn 0.0000 0.0000 0.0000
Ga 0.5000 0.5000 0.5000
Sb 0.0000 0.0000 0.5000
Te 0.0000 0.5000 0.0000

--- x ---
The following is a PBE calculation of a relaxed ZnGaSbTe2 crystal, from Alexandria.

The volume comes out at 31.5 Å³/atom. For the density, the calculation gives 5.40 Mg/m³.

Unit cell a=5.4462 b=5.4462 c=5.3074 alpha=90.00 beta=90.00 gamma=90.00
Space group P4/mmm (No. 123)
One atom of each set of equivalent atoms:
Zn 0.0000 0.0000 0.0000
Ga 0.5000 0.5000 0.5000
Sb 0.5000 0.5000 0.0000
Te 0.0000 0.5000 0.5000

Which of them is the most stable? Correct choice: w.

--- w ---
The following is a PBE calculation of a relaxed TiGaSb crystal, from Alexandria.

The volume comes out at 19.5 Å³/atom. For the density, the calculation gives 6.80 Mg/m³.

Unit cell a=3.7905 b=3.7905 c=8.1313 alpha=90.00 beta=90.00 gamma=90.00
Space group P4/nmm (No. 129, origin choice 2)
One atom of each set of equivalent atoms:
Ti 0.2500 0.2500 0.2362
Ga 0.2500 0.7500 0.5000
Sb 0.2500 0.2500 0.8652

--- x ---
The following is a PBE calculation of a relaxed TiGaSb crystal, from Alexandria.

The volume comes out at 19.0 Å³/atom. For the density, the calculation gives 6.98 Mg/m³.

Unit cell a=3.5557 b=3.5557 c=9.0070 alpha=90.00 beta=90.00 gamma=90.00
Space group I4mm (No. 107)
One atom of each set of equivalent atoms:
Ti 0.0000 0.0000 0.0000
Ga 0.0000 0.0000 0.6559
Sb 0.0000 0.0000 0.3373

Which of them is the most stable? Correct choice: w.

--- w ---
The following is a PBE calculation of a relaxed Ti5GaSb2 crystal, from Alexandria.

The volume comes out at 17.8 Å³/atom. For the density, the calculation gives 6.44 Mg/m³.

Unit cell a=10.4720 b=10.4720 c=5.1970 alpha=90.00 beta=90.00 gamma=90.00
Space group I4/mcm (No. 140)
One atom of each set of equivalent atoms:
Ti 0.0000 0.5000 0.2500
Ti 0.0740 0.2169 0.0000
Ga 0.0000 0.0000 0.2500
Sb 0.1643 0.3357 0.5000

--- x ---
The following is a PBE calculation of a relaxed Ti5GaSb2 crystal, from Alexandria.

The volume comes out at 21.7 Å³/atom. For the density, the calculation gives 5.29 Mg/m³.

Unit cell a=4.6582 b=12.9229 c=11.5298 alpha=90.00 beta=90.00 gamma=90.00
Space group Cmcm (No. 63)
One atom of each set of equivalent atoms:
Ti 0.0000 0.1092 0.1313
Ti 0.0000 0.3032 0.7500
Ti 0.0000 0.3046 0.0158
Ga 0.0000 0.2966 0.2500
Sb 0.0000 0.1061 0.6122

Which of them is the most stable? Correct choice: w.

--- w ---
The following is a PBE calculation of a relaxed TlGa2Sb2 crystal, from Alexandria.

The volume comes out at 25.5 Å³/atom. For the density, the calculation gives 7.65 Mg/m³.

Unit cell a=8.2115 b=8.2115 c=3.7829 alpha=90.00 beta=90.00 gamma=90.00
Space group P4/mbm (No. 127)
One atom of each set of equivalent atoms:
Tl 0.0000 0.0000 0.0000
Ga 0.1334 0.3666 0.0000
Sb 0.1531 0.6531 0.5000

--- x ---
The following is a PBE calculation of a relaxed TlGa2Sb2 crystal, from Alexandria.

The volume comes out at 28.9 Å³/atom. For the density, the calculation gives 6.75 Mg/m³.

Unit cell a=4.4284 b=4.4284 c=14.7464 alpha=90.00 beta=90.00 gamma=90.00
Space group I4/mmm (No. 139)
One atom of each set of equivalent atoms:
Tl 0.0000 0.0000 0.0000
Ga 0.0000 0.5000 0.2500
Sb 0.0000 0.0000 0.3695

--- y ---
The following is a PBE calculation of a relaxed TlGa2Sb2 crystal, from Alexandria.

The volume comes out at 26.9 Å³/atom. For the density, the calculation gives 7.26 Mg/m³.

Unit cell a=5.2192 b=5.2192 c=9.8580 alpha=90.00 beta=90.00 gamma=90.00
Space group I4/mmm (No. 139)
One atom of each set of equivalent atoms:
Tl 0.0000 0.0000 0.0000
Ga 0.0000 0.0000 0.3720
Sb 0.0000 0.5000 0.2500

Which of them is the most stable? Correct choice: x.